Entry 1:
A relaxed In2Hg2Sb crystal, computed with PBE-GGA.

Properties
Distance to the lowest polymorph of the same formula, eV/atom: 0.118

Structure (CIF):
```
data_In2Hg2Sb
_chemical_formula_sum 'In4 Hg4 Sb2'
_space_group_name_H-M_alt 'I 4/m m m'
_space_group_IT_number 139
_space_group_name_Hall '-I 4 2'
_cell_length_a 4.4595
_cell_length_b 4.4595
_cell_length_c 14.0156
_cell_angle_alpha 90.00
_cell_angle_beta 90.00
_cell_angle_gamma 90.00
loop_
_atom_site_label
_atom_site_type_symbol
_atom_site_fract_x
_atom_site_fract_y
_atom_site_fract_z
_atom_site_occupancy
In1 In 0.0000 0.5000 0.2500 1
Hg1 Hg 0.0000 0.0000 0.0993 1
Sb1 Sb 0.0000 0.0000 0.5000 1
```

Entry 2:
A relaxed InFeP2 crystal, computed with PBE-GGA.

Properties
Energy of formation, meV/atom: 496

Structure (CIF):
```
data_InFeP2
_chemical_formula_sum 'In2 Fe2 P4'
_space_group_name_H-M_alt 'C m m m'
_space_group_IT_number 65
_space_group_name_Hall '-C 2 2'
_cell_length_a 5.3384
_cell_length_b 7.1375
_cell_length_c 3.4697
_cell_angle_alpha 90.00
_cell_angle_beta 90.00
_cell_angle_gamma 90.00
loop_
_atom_site_label
_atom_site_type_symbol
_atom_site_fract_x
_atom_site_fract_y
_atom_site_fract_z
_atom_site_occupancy
In1 In 0.0000 0.0000 0.0000 1
Fe1 Fe 0.0000 0.5000 0.0000 1
P1 P 0.2500 0.2500 0.5000 1
```

| no. | uncorrected energy (eV for the cell shown) |
| --- | --- |
| 1 | -18.4 |
| 2 | -40.1 |